[1]
First-principles (PBE-GGA) data for a relaxed structure of AlGe3I, as listed in the Alexandria database.

a b c (Å): 5.4834 5.4834 5.4834
angles (deg): 90.00 90.00 90.00
Element x y z (fractional)
Al 0.0000 0.0000 0.0000
Ge 0.0000 0.5000 0.5000
Ge 0.5000 0.0000 0.5000
Ge 0.5000 0.5000 0.0000
I 0.5000 0.5000 0.5000

E_tot	-12.84	eV/cell
space-group type	Pm-3m
DOS at the Fermi energy	0.621	states/eV/atom
M_tot	0.0	μB per formula unit
energy above the most stable polymorph in this dataset	3.463	eV/f.u.


[2]
First-principles (PBE-GGA) data for a relaxed structure of AlGe3I, as listed in the Alexandria database.

a b c (Å): 5.0218 5.0218 5.0218
angles (deg): 90.00 90.00 90.00
Element x y z (fractional)
Al 0.0000 0.0000 0.0000
Ge 0.0000 0.0000 0.5000
Ge 0.0000 0.5000 0.0000
Ge 0.5000 0.0000 0.0000
I 0.5000 0.5000 0.5000

E_tot	-16.31	eV/cell
space-group type	Pm-3m
DOS at the Fermi energy	1.290	states/eV/atom
M_tot	0.0	μB per formula unit
energy above the most stable polymorph in this dataset	0.000	eV/f.u.


[3]
First-principles (PBE-GGA) data for a relaxed structure of AlGeI5, as listed in the Alexandria database.

a b c (Å): 8.0556 8.0556 11.6376
angles (deg): 110.40 110.40 87.27
Element x y z (fractional)
Al 0.1394 0.8606 0.5000
Al 0.8606 0.1394 0.0000
Ge 0.4810 0.9752 0.2216
Ge 0.9752 0.4810 0.7216
I 0.1539 0.1840 0.1979
I 0.1840 0.1539 0.6979
I 0.1961 0.6061 0.5943
I 0.3622 0.6824 0.0168
I 0.4081 0.8401 0.4257
I 0.6061 0.1961 0.0943
I 0.6824 0.3622 0.5168
I 0.7934 0.8471 0.8056
I 0.8401 0.4081 0.9257
I 0.8471 0.7934 0.3056

E_tot	-38.66	eV/cell
space-group type	Cc
DOS at the Fermi energy	0.000	states/eV/atom
M_tot	0.0	μB per formula unit


[4]
First-principles (PBE-GGA) data for a relaxed structure of AlGe2I, as listed in the Alexandria database.

a b c (Å): 5.0890 5.0890 5.0890
angles (deg): 60.00 60.00 60.00
Element x y z (fractional)
Al 0.0000 0.0000 0.0000
Ge 0.2500 0.2500 0.2500
Ge 0.7500 0.7500 0.7500
I 0.5000 0.5000 0.5000

E_tot	-12.27	eV/cell
space-group type	Fm-3m
DOS at the Fermi energy	0.856	states/eV/atom
M_tot	0.0	μB per formula unit
energy above the most stable polymorph in this dataset	0.510	eV/f.u.


Look up the M_tot of the third one. 0.0 μB per formula unit


Please write out number 4 again, unchanged.
First-principles (PBE-GGA) data for a relaxed structure of AlGe2I, as listed in the Alexandria database.

a b c (Å): 5.0890 5.0890 5.0890
angles (deg): 60.00 60.00 60.00
Element x y z (fractional)
Al 0.0000 0.0000 0.0000
Ge 0.2500 0.2500 0.2500
Ge 0.7500 0.7500 0.7500
I 0.5000 0.5000 0.5000

E_tot	-12.27	eV/cell
space-group type	Fm-3m
DOS at the Fermi energy	0.856	states/eV/atom
M_tot	0.0	μB per formula unit
energy above the most stable polymorph in this dataset	0.510	eV/f.u.


Please write out number 3 again, unchanged.
First-principles (PBE-GGA) data for a relaxed structure of AlGeI5, as listed in the Alexandria database.

a b c (Å): 8.0556 8.0556 11.6376
angles (deg): 110.40 110.40 87.27
Element x y z (fractional)
Al 0.1394 0.8606 0.5000
Al 0.8606 0.1394 0.0000
Ge 0.4810 0.9752 0.2216
Ge 0.9752 0.4810 0.7216
I 0.1539 0.1840 0.1979
I 0.1840 0.1539 0.6979
I 0.1961 0.6061 0.5943
I 0.3622 0.6824 0.0168
I 0.4081 0.8401 0.4257
I 0.6061 0.1961 0.0943
I 0.6824 0.3622 0.5168
I 0.7934 0.8471 0.8056
I 0.8401 0.4081 0.9257
I 0.8471 0.7934 0.3056

E_tot	-38.66	eV/cell
space-group type	Cc
DOS at the Fermi energy	0.000	states/eV/atom
M_tot	0.0	μB per formula unit